Computed, not measured: crystalline SrGeS2 at its relaxed geometry at the PBE level of DFT.

As for the space group: R-3m, No. 166. The calculation puts the calculated volume at 33.63 Å³ per atom. The total DFT energy (no corrections) comes out at -17.36 eV for the cell shown.

abc: 8.2013 8.2013 8.2013
angles: 31.60 31.60 31.60
With the nearest neighbours (Å) after each atom.
Fractional positions:
Sr 0.5000 0.5000 0.5000  6 S 2.99
Ge 0.0000 0.0000 0.0000  2 S 2.38
S 0.8983 0.8983 0.8983  1 Ge 2.38
S 0.1017 0.1017 0.1017  1 Ge 2.38